<P>
# Sb2TeMoPt, optimized geometry, DFT PBE
# - Total moment: 3.10 μB/f.u.
# - Calculated density: 7.6 g cm⁻³
data_Sb2TeMoPt
_cell_length_a 5.162
_cell_length_b 5.162
_cell_length_c 5.433
_cell_angle_alpha 90.00
_cell_angle_beta 90.00
_cell_angle_gamma 90.00
_symmetry_space_group_name_H-M 'P 1'
_symmetry_Int_Tables_number 1
loop_
_symmetry_equiv_pos_as_xyz
'x,y,z'
loop_
_atom_site_label
_atom_site_type_symbol
_atom_site_fract_x
_atom_site_fract_y
_atom_site_fract_z
Sb1 Sb 0.000 0.500 0.000
Sb2 Sb 0.500 0.000 0.000
Te1 Te 0.000 0.000 0.500
Mo1 Mo 0.500 0.500 0.500
Pt1 Pt 0.000 0.000 0.000

<Q>
# Sb2TeMoPt, optimized geometry, DFT PBE
# - Total moment: 0.00 μB/f.u.
# - Calculated density: 8.0 g cm⁻³
data_Sb2TeMoPt
_cell_length_a 5.182
_cell_length_b 5.182
_cell_length_c 5.106
_cell_angle_alpha 90.00
_cell_angle_beta 90.00
_cell_angle_gamma 90.00
_symmetry_space_group_name_H-M 'P 1'
_symmetry_Int_Tables_number 1
loop_
_symmetry_equiv_pos_as_xyz
'x,y,z'
loop_
_atom_site_label
_atom_site_type_symbol
_atom_site_fract_x
_atom_site_fract_y
_atom_site_fract_z
Sb1 Sb 0.000 0.500 0.000
Sb2 Sb 0.500 0.000 0.000
Te1 Te 0.000 0.000 0.500
Mo1 Mo 0.000 0.000 0.000
Pt1 Pt 0.500 0.500 0.500

Least stable: <P>

<P>
# ScMoPt, optimized geometry, DFT PBE
# - Total moment: 0.00 μB/f.u.
# - Calculated density: 10.8 g cm⁻³
data_ScMoPt
_cell_length_a 5.298
_cell_length_b 5.298
_cell_length_c 5.298
_cell_angle_alpha 147.39
_cell_angle_beta 139.66
_cell_angle_gamma 52.80
_symmetry_space_group_name_H-M 'P 1'
_symmetry_Int_Tables_number 1
loop_
_symmetry_equiv_pos_as_xyz
'x,y,z'
loop_
_atom_site_label
_atom_site_type_symbol
_atom_site_fract_x
_atom_site_fract_y
_atom_site_fract_z
Sc1 Sc 0.000 0.000 0.000
Mo1 Mo 0.678 0.678 0.000
Pt1 Pt 0.333 0.333 0.000

<Q>
# ScMoPt, optimized geometry, DFT PBE
# - Total moment: 0.00 μB/f.u.
# - Calculated density: 9.2 g cm⁻³
data_ScMoPt
_cell_length_a 4.407
_cell_length_b 4.407
_cell_length_c 4.407
_cell_angle_alpha 60.00
_cell_angle_beta 60.00
_cell_angle_gamma 60.00
_symmetry_space_group_name_H-M 'P 1'
_symmetry_Int_Tables_number 1
loop_
_symmetry_equiv_pos_as_xyz
'x,y,z'
loop_
_atom_site_label
_atom_site_type_symbol
_atom_site_fract_x
_atom_site_fract_y
_atom_site_fract_z
Sc1 Sc 0.000 0.000 0.000
Mo1 Mo 0.500 0.500 0.500
Pt1 Pt 0.750 0.750 0.750

<R>
# ScMoPt, optimized geometry, DFT PBE
# - Total moment: 0.00 μB/f.u.
# - Calculated density: 10.7 g cm⁻³
data_ScMoPt
_cell_length_a 2.964
_cell_length_b 2.964
_cell_length_c 6.851
_cell_angle_alpha 90.00
_cell_angle_beta 90.00
_cell_angle_gamma 120.00
_symmetry_space_group_name_H-M 'P 1'
_symmetry_Int_Tables_number 1
loop_
_symmetry_equiv_pos_as_xyz
'x,y,z'
loop_
_atom_site_label
_atom_site_type_symbol
_atom_site_fract_x
_atom_site_fract_y
_atom_site_fract_z
Sc1 Sc 0.000 0.000 0.000
Mo1 Mo 0.667 0.333 0.345
Pt1 Pt 0.333 0.667 0.668

Least stable: <Q>

<P>
# ScMo3Pt, optimized geometry, DFT PBE
# - Total moment: 0.00 μB/f.u.
# - Calculated density: 7.9 g cm⁻³
data_ScMo3Pt
_cell_length_a 4.806
_cell_length_b 4.806
_cell_length_c 4.806
_cell_angle_alpha 90.00
_cell_angle_beta 90.00
_cell_angle_gamma 90.00
_symmetry_space_group_name_H-M 'P 1'
_symmetry_Int_Tables_number 1
loop_
_symmetry_equiv_pos_as_xyz
'x,y,z'
loop_
_atom_site_label
_atom_site_type_symbol
_atom_site_fract_x
_atom_site_fract_y
_atom_site_fract_z
Sc1 Sc 0.000 0.000 0.000
Mo1 Mo 0.000 0.500 0.500
Mo2 Mo 0.500 0.000 0.500
Mo3 Mo 0.500 0.500 0.000
Pt1 Pt 0.500 0.500 0.500

<Q>
# ScMo3Pt, optimized geometry, DFT PBE
# - Total moment: 0.00 μB/f.u.
# - Calculated density: 9.5 g cm⁻³
data_ScMo3Pt
_cell_length_a 4.513
_cell_length_b 4.513
_cell_length_c 4.513
_cell_angle_alpha 90.00
_cell_angle_beta 90.00
_cell_angle_gamma 90.00
_symmetry_space_group_name_H-M 'P 1'
_symmetry_Int_Tables_number 1
loop_
_symmetry_equiv_pos_as_xyz
'x,y,z'
loop_
_atom_site_label
_atom_site_type_symbol
_atom_site_fract_x
_atom_site_fract_y
_atom_site_fract_z
Sc1 Sc 0.000 0.000 0.000
Mo1 Mo 0.000 0.000 0.500
Mo2 Mo 0.000 0.500 0.000
Mo3 Mo 0.500 0.000 0.000
Pt1 Pt 0.500 0.500 0.500

Least stable: <Q>

<P>
# MoPtSe4, optimized geometry, DFT PBE
# - Total moment: 2.79 μB/f.u.
# - Calculated density: 8.5 g cm⁻³
data_MoPtSe4
_cell_length_a 5.521
_cell_length_b 5.521
_cell_length_c 5.521
_cell_angle_alpha 60.00
_cell_angle_beta 60.00
_cell_angle_gamma 60.00
_symmetry_space_group_name_H-M 'P 1'
_symmetry_Int_Tables_number 1
loop_
_symmetry_equiv_pos_as_xyz
'x,y,z'
loop_
_atom_site_label
_atom_site_type_symbol
_atom_site_fract_x
_atom_site_fract_y
_atom_site_fract_z
Mo1 Mo 0.000 0.000 0.000
Pt1 Pt 0.750 0.750 0.750
Se1 Se 0.376 0.376 0.376
Se2 Se 0.376 0.376 0.872
Se3 Se 0.376 0.872 0.376
Se4 Se 0.872 0.376 0.376

<Q>
# MoPtSe4, optimized geometry, DFT PBE
# - Total moment: 0.00 μB/f.u.
# - Calculated density: 7.3 g cm⁻³
data_MoPtSe4
_cell_length_a 7.120
_cell_length_b 7.120
_cell_length_c 6.143
_cell_angle_alpha 109.82
_cell_angle_beta 109.82
_cell_angle_gamma 28.44
_symmetry_space_group_name_H-M 'P 1'
_symmetry_Int_Tables_number 1
loop_
_symmetry_equiv_pos_as_xyz
'x,y,z'
loop_
_atom_site_label
_atom_site_type_symbol
_atom_site_fract_x
_atom_site_fract_y
_atom_site_fract_z
Mo1 Mo 0.000 0.000 0.000
Pt1 Pt 0.501 0.501 0.591
Se1 Se 0.107 0.107 0.469
Se2 Se 0.402 0.402 0.146
Se3 Se 0.636 0.636 0.019
Se4 Se 0.868 0.868 0.614

Least stable: <P>